PBE AlIr2W, relaxed; calculated total energy = -8.94 eV per atom; symmetry = Pmm2; ΔE_f = -337 meV per atom
1.0
-2.029 1.917 0.426
-1.525 -2.266 2.932
3.116 2.508 3.559
Ir Al W
2 1 1
Cartesian
2.964 2.385 3.385 Ir
-0.889 0.540 2.693 Ir
0.667 1.792 4.470 Al
1.495 1.203 1.708 W



PBE AlZnIr2W, relaxed; calculated total energy = -5.80 eV per atom; symmetry = P4/mmm; ΔE_f = 1342 meV per atom
1.0
-2.849 -3.146 1.486
2.953 -3.037 -0.768
1.610 0.510 4.168
Zn Ir Al W
1 2 1 1
Cartesian
0.000 0.000 0.000 Zn
0.805 0.255 2.084 Ir
-1.424 -1.573 0.743 Ir
1.476 -1.518 -0.384 Al
0.857 -2.836 2.442 W



PBE AlZn2IrW, relaxed; calculated total energy = -4.21 eV per atom; symmetry = P4/mmm; ΔE_f = 1415 meV per atom
1.0
4.360 0.000 0.000
0.000 4.703 0.000
0.000 0.000 4.360
Zn Ir Al W
2 1 1 1
Cartesian
0.000 0.000 2.180 Zn
2.180 0.000 0.000 Zn
2.180 2.351 2.180 Ir
0.000 0.000 0.000 Al
0.000 2.351 0.000 W



PBE Zr2AlIrW, relaxed; calculated total energy = -7.57 eV per atom; symmetry = P4/mmm; ΔE_f = 961 meV per atom
1.0
-3.508 0.520 -3.450
-1.115 -4.072 0.519
-3.239 1.332 3.495
Ir Zr W Al
1 2 1 1
Cartesian
-0.557 -2.036 0.260 Ir
-1.619 0.666 1.748 Zr
-1.754 0.260 -1.725 Zr
-3.931 -1.110 0.282 W
0.000 0.000 0.000 Al



PBE YAl3Ir, relaxed; calculated total energy = -3.41 eV per atom; symmetry = Pm-3m; offset from the most stable computed form = 2.6240 eV/atom; ΔE_f = 1903 meV per atom
1.0
5.171 0.000 0.000
0.000 5.171 0.000
0.000 0.000 5.171
Y Ir Al
1 1 3
Cartesian
0.000 0.000 0.000 Y
2.585 2.585 2.585 Ir
0.000 2.585 0.000 Al
0.000 0.000 2.585 Al
2.585 0.000 0.000 Al



PBE Y4AlIr, relaxed; calculated total energy = -5.85 eV per atom; symmetry = F-43m; offset from the most stable computed form = 1.0957 eV/atom; ΔE_f = 557 meV per atom
1.0
0.000 4.224 4.224
4.224 0.000 4.224
4.224 4.224 0.000
Y Al Ir
4 1 1
Cartesian
3.159 5.288 5.288 Y
5.288 5.288 3.159 Y
5.288 3.159 5.288 Y
3.159 3.159 3.159 Y
6.336 6.336 6.336 Al
0.000 0.000 0.000 Ir



PBE YAl3Ir, relaxed; calculated total energy = -6.03 eV per atom; symmetry = P2_1/m; offset from the most stable computed form = 0.0000 eV/atom; ΔE_f = -721 meV per atom
1.0
4.141 0.000 0.000
0.000 6.672 1.630
0.000 0.187 6.911
Y Al Ir
2 6 2
Cartesian
1.578 3.628 2.471 Y
3.648 1.025 4.200 Y
3.648 4.602 4.560 Al
1.578 6.722 3.740 Al
3.648 4.743 7.238 Al
3.648 1.733 0.779 Al
1.577 2.920 5.892 Al
1.578 6.768 7.973 Al
1.578 5.398 5.883 Ir
3.648 5.927 2.417 Ir



PBE Y4Al12Ir, relaxed; calculated total energy = -5.24 eV per atom; symmetry = Im-3m; ΔE_f = -554 meV per atom
1.0
7.060 0.000 -2.496
-3.530 6.114 -2.496
0.000 0.000 7.488
Y Al Ir
4 12 1
Cartesian
0.000 0.000 3.744 Y
3.530 0.000 -1.248 Y
1.765 3.057 1.248 Y
-1.765 3.057 -1.248 Y
-1.018 1.764 1.440 Al
-2.512 4.350 3.552 Al
2.512 4.350 -3.552 Al
1.018 1.764 -1.440 Al
2.036 0.000 1.440 Al
5.023 0.000 3.552 Al
2.647 1.528 3.744 Al
0.882 4.585 -1.248 Al
4.412 1.528 1.248 Al
-0.882 4.585 1.248 Al
3.530 3.057 -1.248 Al
0.000 3.057 3.744 Al
0.000 0.000 0.000 Ir



PBE Y2Al9Ir3, relaxed; calculated total energy = -6.10 eV per atom; symmetry = Cmcm; offset from the most stable computed form = 0.0000 eV/atom; ΔE_f = -868 meV per atom
1.0
-4.276 -3.064 -5.419
5.815 -3.912 2.813
-5.703 -3.726 6.608
Y Al Ir
4 18 6
Cartesian
-1.778 -6.608 -1.854 Y
-2.385 -4.095 5.856 Y
1.492 -6.883 0.814 Y
-5.656 -3.820 3.188 Y
-1.227 -1.832 1.316 Al
-2.937 -8.871 2.686 Al
1.520 -1.592 1.428 Al
-5.684 -9.111 2.574 Al
-3.681 -7.802 0.253 Al
-3.854 -2.617 0.999 Al
-0.483 -2.901 3.749 Al
-0.310 -8.085 3.003 Al
-2.313 -9.394 5.323 Al
-1.851 -1.309 -1.321 Al
-2.629 -4.379 2.773 Al
-1.534 -6.324 1.229 Al
0.735 -4.841 -1.400 Al
-4.899 -5.861 5.402 Al
0.312 -4.118 1.355 Al
-4.476 -6.584 2.647 Al
-1.797 -3.941 -0.365 Al
-2.367 -6.761 4.367 Al
-0.965 -3.342 -2.718 Ir
2.504 -3.634 0.112 Ir
-0.347 -5.497 3.416 Ir
-3.817 -5.205 0.586 Ir
0.000 0.000 0.000 Ir
-2.852 -1.863 3.304 Ir



PBE YAl3Ir, relaxed; calculated total energy = -5.86 eV per atom; symmetry = P6_3/mmc; offset from the most stable computed form = 0.1763 eV/atom; ΔE_f = -544 meV per atom
1.0
5.653 0.000 0.000
0.000 6.238 0.000
0.000 -3.119 5.402
Y Al Ir
2 6 2
Cartesian
4.239 3.120 1.801 Y
1.414 0.000 3.601 Y
4.240 1.336 4.372 Al
1.413 3.119 3.343 Al
1.413 1.783 1.030 Al
4.240 0.000 2.059 Al
1.413 4.455 1.030 Al
4.241 -1.335 4.372 Al
0.000 -3.119 5.402 Ir
2.827 -3.119 5.402 Ir



PBE Y2Al6Ir, relaxed; calculated total energy = -5.48 eV per atom; symmetry = P-3m1; ΔE_f = -560 meV per atom
1.0
-0.044 0.278 5.964
1.303 -5.592 0.271
5.500 -1.667 0.118
Y Al Ir
2 6 1
Cartesian
4.497 -4.596 5.465 Y
2.262 -2.384 0.888 Y
4.991 -3.206 2.093 Al
5.625 -5.928 2.224 Al
2.948 -5.117 2.167 Al
1.768 -3.774 4.260 Al
1.134 -1.052 4.129 Al
3.811 -1.864 4.186 Al
0.000 0.000 0.000 Ir



PBE Y2Al9Ir3, relaxed; calculated total energy = -6.09 eV per atom; symmetry = C2/c; offset from the most stable computed form = 0.0022 eV/atom; ΔE_f = -866 meV per atom
1.0
-5.914 -3.189 -3.502
3.639 -3.724 5.505
-3.134 7.164 6.947
Y Al Ir
4 18 6
Cartesian
-3.437 3.379 5.398 Y
-1.972 -3.128 3.551 Y
-6.118 0.008 4.941 Y
0.709 0.243 4.009 Y
-1.717 0.469 8.648 Al
-3.691 -0.218 0.302 Al
-3.737 0.596 6.790 Al
-1.672 -0.345 2.159 Al
-3.231 2.804 8.391 Al
-2.178 -2.553 0.558 Al
-1.168 1.467 6.117 Al
-4.240 -1.216 2.832 Al
-7.080 2.087 2.842 Al
1.672 -1.836 6.107 Al
-0.160 2.695 11.524 Al
-5.248 -2.445 -2.575 Al
-4.242 1.566 2.987 Al
-1.167 -1.315 5.962 Al
-3.871 -1.907 5.612 Al
-1.537 2.158 3.337 Al
-6.439 2.996 5.393 Al
1.031 -2.745 3.556 Al
-2.957 -1.595 -1.751 Ir
-2.704 0.125 4.475 Ir
-5.925 0.250 1.462 Ir
0.517 0.001 7.487 Ir
0.229 -1.824 1.292 Ir
-5.638 2.075 7.657 Ir



What did the fourth record say?
PBE Zr2AlIrW, relaxed; calculated total energy = -7.57 eV per atom; symmetry = P4/mmm; ΔE_f = 961 meV per atom
1.0
-3.508 0.520 -3.450
-1.115 -4.072 0.519
-3.239 1.332 3.495
Ir Zr W Al
1 2 1 1
Cartesian
-0.557 -2.036 0.260 Ir
-1.619 0.666 1.748 Zr
-1.754 0.260 -1.725 Zr
-3.931 -1.110 0.282 W
0.000 0.000 0.000 Al



Question: calculated total energy of number 10 (YAl3Ir)?
Answer: -5.86 eV per atom



Question: Which formula does entry 12 have?
Answer: Y2Al9Ir3



Question: Among the records above, which one has the lowest ΔE_f?
Answer: number 9